(1)
# LiCdSe2

An optimized crystal structure of LiCdSe2 (PBE, Alexandria via LeMat-Bulk).

Lattice parameters (Å, degrees): 6.2209 6.2209 7.0578 63.85 63.85 90.00
Element x y z (fractional)
Li 0.5000 0.5000 0.0000
Li 0.2500 0.7500 0.5000
Se 0.6104 0.1250 0.2500
Se 0.1396 0.6250 0.2500
Se 0.3750 0.3896 0.7500
Se 0.8750 0.8604 0.7500
Cd 0.0000 0.0000 0.0000
Cd 0.7500 0.2500 0.5000

## Properties
* volume: 26.699 Å³/atom
* uncorrected formation energy: -0.54 eV per atom
* symmetry: I-42d
* total DFT energy (no corrections): -2.994 eV per atom

=====

(2)
# BeSiRu2

An optimized crystal structure of BeSiRu2 (PBE, Alexandria via LeMat-Bulk).

Lattice parameters (Å, degrees): 4.5956 4.5956 4.1192 74.42 74.42 35.75
Element x y z (fractional)
Ru 0.9984 0.9984 0.0764
Ru 0.7499 0.7499 0.6794
Si 0.4951 0.4951 0.5661
Be 0.2566 0.2566 0.1781

## Properties
* volume: 12.191 Å³/atom
* uncorrected formation energy: -0.38 eV per atom
* symmetry: Cm
* energy above the most stable polymorph in this dataset: 177 meV/atom
* total DFT energy (no corrections): -7.304 eV per atom

=====

(3)
# CoAg2BiRh

An optimized crystal structure of CoAg2BiRh (PBE, Alexandria via LeMat-Bulk).

Lattice parameters (Å, degrees): 5.2402 5.0350 5.2402 90.00 90.00 90.00
Site moments in Bohr magnetons follow the coordinates.
Element x y z (fractional)
Co 0.5000 0.5000 0.5000  2.12
Rh 0.0000 0.5000 0.0000  -0.11
Bi 0.0000 0.0000 0.0000  0.02
Ag 0.0000 0.0000 0.5000  0.00
Ag 0.5000 0.0000 0.0000  0.00

## Properties
* volume: 27.652 Å³/atom
* symmetry: P4/mmm
* total DFT energy (no corrections): -3.377 eV per atom
* calculated formation energy: 691 kJ/mol of formula units